# 1
A relaxed structure of LiMg8Zn2. Source: the Alexandria database, functional GGA-PBE.

E_tot: -1.561 eV per atom
Energy of formation: 0.00 eV per atom
E above lowest polymorph: 32 meV/atom

Structure (POSCAR):
```
LiMg8Zn2
1.0
-3.5025 2.9118 -2.3571
-2.9835 -6.8430 -0.8471
-0.0263 2.9822 6.8958
Mg Zn Li
8 2 1
Cartesian
-1.3691 -1.6268 0.0746 Mg
-5.8396 -1.6359 1.7936 Mg
-0.6728 0.6869 1.8980 Mg
-2.8948 -1.4528 2.9492 Mg
-5.1432 0.6778 3.6169 Mg
-2.4450 2.2204 3.9695 Mg
-4.0673 -3.1694 -0.2780 Mg
-3.6176 0.5038 0.7424 Mg
-2.0789 -3.8375 1.5215 Zn
-0.9309 -0.0234 4.5272 Zn
-1.7512 1.4559 -1.1786 Li
```

***

# 2
A relaxed structure of Li5Mg3Zn2. Source: the Alexandria database, functional GGA-PBE.

E_tot: -1.739 eV per atom
Energy of formation: -0.05 eV per atom

Structure (POSCAR):
```
Li5Mg3Zn2
1.0
-3.0463 3.3780 3.2994
-0.1624 -4.6747 9.4216
5.1143 0.3134 9.1865
Mg Li Zn
6 10 4
Cartesian
2.3035 -0.4788 7.4024 Mg
-0.7616 0.8445 0.8248 Mg
-0.3980 -0.5044 14.5050 Mg
-2.2848 2.5335 2.4745 Mg
-0.8245 -0.3069 9.1236 Mg
2.7300 -0.6764 12.7838 Mg
0.4755 -0.3526 3.1927 Li
2.9532 -2.3197 17.0650 Li
1.8178 -3.1049 14.4279 Li
0.0878 2.1216 7.4795 Li
1.7144 -1.3361 10.1289 Li
0.1912 0.3529 11.7786 Li
-0.2461 -1.3229 5.9125 Li
2.1517 0.3397 15.9949 Li
1.4300 -0.6307 18.7147 Li
-1.0476 1.3364 4.8424 Li
1.3276 1.7067 13.8344 Zn
1.5074 1.3176 9.6135 Zn
0.5779 -2.6900 8.0730 Zn
0.3982 -2.3008 12.2940 Zn
```

***

# 3
A relaxed structure of Li8Mg2Zn3. Source: the Alexandria database, functional GGA-PBE.

E_tot: -1.708 eV per atom
Energy of formation: 0.01 eV per atom
E above lowest polymorph: 87 meV/atom

Structure (POSCAR):
```
Li8Mg2Zn3
1.0
5.4705 0.0000 0.1085
0.0000 7.0462 0.0000
-2.0432 -3.5231 6.3260
Zn Li Mg
3 8 2
Cartesian
0.0000 1.2558 0.0000 Zn
2.7353 0.0000 0.0542 Zn
0.0000 5.7904 0.0000 Zn
0.1174 -1.3379 4.9731 Li
2.7198 0.0000 5.1589 Li
4.1398 0.0000 2.7188 Li
0.7076 3.5231 1.2756 Li
3.3099 2.1852 1.4614 Li
3.3099 4.8610 1.4614 Li
0.1174 1.3379 4.9731 Li
-0.7124 3.5231 3.7157 Li
2.1100 3.5231 4.0021 Mg
1.3173 0.0000 2.4324 Mg
```

***

# 4
A relaxed structure of Li6MgZn. Source: the Alexandria database, functional GGA-PBE.

E_tot: -1.849 eV per atom
Energy of formation: -0.06 eV per atom

Structure (POSCAR):
```
Li6MgZn
1.0
4.2588 0.0000 0.0000
0.0000 4.2588 0.0000
0.0000 0.0000 8.0910
Li Mg Zn
6 1 1
Cartesian
2.1294 2.1294 0.0000 Li
2.1294 0.0000 2.1869 Li
0.0000 2.1294 5.9041 Li
2.1294 0.0000 5.9041 Li
2.1294 2.1294 4.0455 Li
0.0000 2.1294 2.1869 Li
0.0000 0.0000 0.0000 Mg
0.0000 0.0000 4.0455 Zn
```

***

# 5
A relaxed structure of Li7MgZn3. Source: the Alexandria database, functional GGA-PBE.

E_tot: -1.692 eV per atom
Energy of formation: 0.02 eV per atom
E above lowest polymorph: 94 meV/atom

Structure (POSCAR):
```
Li7MgZn3
1.0
-4.4072 1.8566 -1.1265
1.8587 -4.5953 -4.7002
-0.6920 -5.0159 4.5853
Zn Li Mg
3 7 1
Cartesian
-2.2036 0.9283 -0.5633 Zn
-0.0962 -4.9176 2.4164 Zn
1.2629 -4.6935 -2.5313 Zn
-0.5062 -1.3028 -0.1981 Li
-2.9185 -5.3717 1.7810 Li
0.5834 -4.8056 -0.0574 Li
-2.7342 -6.4518 -1.0433 Li
-1.7628 -2.6204 2.2231 Li
-0.3219 -2.3828 -3.0224 Li
-1.4776 -5.1341 -3.4645 Li
-1.6202 -3.8773 -0.6207 Mg
```

***

# 6
A relaxed structure of Li2Mg6Zn3. Source: the Alexandria database, functional GGA-PBE.

E_tot: -1.463 eV per atom
Energy of formation: 0.10 eV per atom

Structure (POSCAR):
```
Li2Mg6Zn3
1.0
-1.6196 -1.3280 3.4954
-0.9229 -3.5494 -1.7761
13.8494 -2.7598 2.9935
Mg Zn Li
6 3 2
Cartesian
2.5394 -3.0150 0.0312 Mg
8.7675 -4.6223 4.6816 Mg
4.0932 -4.6559 2.5030 Mg
9.1158 -5.7330 2.0458 Mg
7.2136 -2.9814 2.2098 Mg
2.1911 -1.9043 2.6670 Mg
4.7655 -1.9696 1.4599 Zn
0.0000 0.0000 0.0000 Zn
6.5413 -5.6676 3.2529 Zn
11.4955 -4.7511 3.5215 Li
-0.1887 -2.8862 1.1913 Li
```